TbDy2MoO8 (GGA+U, optimized geometry); total DFT energy (no corrections) = -7.723 eV per atom; volume = 14.5 Å³/atom; total moment = 0.869 μB/f.u.
1.0
-2.5289 -3.6222 2.4655
3.0213 -3.4652 -2.1114
4.3138 0.5622 5.2503
Tb Dy Mo O
1 2 1 8
Cartesian
2.1569 0.2811 2.6252 Tb
3.4872 -3.1212 4.1217 Dy
1.3190 -3.4041 1.4828 Dy
0.0000 0.0000 0.0000 Mo
2.9163 -3.3716 -0.1651 O
4.6741 -4.5803 5.5045 O
-0.6019 -3.4782 2.7368 O
1.8899 -3.1537 5.7696 O
0.1320 -1.9450 0.0999 O
5.4081 -3.0471 2.8676 O
2.5011 -4.6185 2.8671 O
2.3051 -1.9068 2.7374 O